# La2GdCd

An optimized crystal structure of La2GdCd (PBE, the Alexandria database).

```
data_La2GdCd
_chemical_formula_sum 'La2 Gd1 Cd1'
_cell_length_a 3.8234
_cell_length_b 3.8234
_cell_length_c 9.0090
_cell_angle_alpha 90.00
_cell_angle_beta 90.00
_cell_angle_gamma 90.00
_space_group_name_H-M_alt 'P 4/m m m'
_space_group_IT_number 123
_space_group_name_Hall '-P 4 2'
loop_
_atom_site_label
_atom_site_type_symbol
_atom_site_fract_x
_atom_site_fract_y
_atom_site_fract_z
La1 La 0.0000 0.0000 0.2267
Gd1 Gd 0.5000 0.5000 0.5000
Cd1 Cd 0.5000 0.5000 0.0000
```

E_form: -0.145 eV/atom
Energy above the most stable polymorph in this dataset: 0 kJ/mol of formula units


# Y12Tm5Mg

An optimized crystal structure of Y12Tm5Mg (PBE, the Alexandria database).

```
data_Y12Tm5Mg
_chemical_formula_sum 'Y24 Tm10 Mg2'
_cell_length_a 5.0208
_cell_length_b 15.0299
_cell_length_c 14.9264
_cell_angle_alpha 90.00
_cell_angle_beta 90.00
_cell_angle_gamma 90.00
_space_group_name_H-M_alt 'C m m m'
_space_group_IT_number 65
_space_group_name_Hall '-C 2 2'
loop_
_atom_site_label
_atom_site_type_symbol
_atom_site_fract_x
_atom_site_fract_y
_atom_site_fract_z
Y1 Y 0.0000 0.0000 0.1636
Y2 Y 0.0000 0.1662 0.3324
Y3 Y 0.0000 0.3325 0.1628
Y4 Y 0.0000 0.5000 0.3342
Tm1 Tm 0.0000 0.0000 0.5000
Tm2 Tm 0.0000 0.1682 0.0000
Tm3 Tm 0.0000 0.3328 0.5000
Mg1 Mg 0.0000 0.5000 0.0000
```

E_form: 0.028 eV/atom


# CaPr2Pt2

An optimized crystal structure of CaPr2Pt2 (PBE, the Alexandria database).

```
data_CaPr2Pt2
_chemical_formula_sum 'Ca2 Pr4 Pt4'
_cell_length_a 8.0102
_cell_length_b 8.0102
_cell_length_c 4.0834
_cell_angle_alpha 90.00
_cell_angle_beta 90.00
_cell_angle_gamma 90.00
_space_group_name_H-M_alt 'P 4/m b m'
_space_group_IT_number 127
_space_group_name_Hall '-P 4 2ab'
loop_
_atom_site_label
_atom_site_type_symbol
_atom_site_fract_x
_atom_site_fract_y
_atom_site_fract_z
Ca1 Ca 0.0000 0.0000 0.0000
Pr1 Pr 0.1606 0.3394 0.5000
Pt1 Pt 0.1364 0.6364 0.0000
```

E_form: -0.921 eV/atom


# KPm2Sb

An optimized crystal structure of KPm2Sb (PBE, the Alexandria database).

```
data_KPm2Sb
_chemical_formula_sum 'K4 Pm8 Sb4'
_cell_length_a 7.8478
_cell_length_b 7.8478
_cell_length_c 7.8478
_cell_angle_alpha 90.00
_cell_angle_beta 90.00
_cell_angle_gamma 90.00
_space_group_name_H-M_alt 'F m -3 m'
_space_group_IT_number 225
_space_group_name_Hall '-F 4 2 3'
loop_
_atom_site_label
_atom_site_type_symbol
_atom_site_fract_x
_atom_site_fract_y
_atom_site_fract_z
K1 K 0.0000 0.0000 0.0000
Pm1 Pm 0.2500 0.2500 0.2500
Sb1 Sb 0.0000 0.0000 0.5000
```

Energy above the most stable polymorph in this dataset: 35 kJ/mol of formula units


# CsH6IrPd

An optimized crystal structure of CsH6IrPd (PBE, the Alexandria database).

```
data_CsH6IrPd
_chemical_formula_sum 'Cs1 H6 Ir1 Pd1'
_cell_length_a 4.9409
_cell_length_b 4.9409
_cell_length_c 5.9387
_cell_angle_alpha 90.00
_cell_angle_beta 90.00
_cell_angle_gamma 120.00
_space_group_name_H-M_alt 'P 3 1 2'
_space_group_IT_number 149
_space_group_name_Hall 'P 3 2'
loop_
_atom_site_label
_atom_site_type_symbol
_atom_site_fract_x
_atom_site_fract_y
_atom_site_fract_z
Cs1 Cs 0.0000 0.0000 0.0000
H1 H 0.3393 0.0137 0.6074
Ir1 Ir 0.6667 0.3333 0.5000
Pd1 Pd 0.3333 0.6667 0.5000
```

Uncorrected energy: -35.63 eV/cell


# LuPuInPd

An optimized crystal structure of LuPuInPd (PBE, the Alexandria database).

```
data_LuPuInPd
_chemical_formula_sum 'Lu4 Pu4 In4 Pd4'
_cell_length_a 7.2592
_cell_length_b 7.2592
_cell_length_c 7.2592
_cell_angle_alpha 90.00
_cell_angle_beta 90.00
_cell_angle_gamma 90.00
_space_group_name_H-M_alt 'F -4 3 m'
_space_group_IT_number 216
_space_group_name_Hall 'F -4 2 3'
loop_
_atom_site_label
_atom_site_type_symbol
_atom_site_fract_x
_atom_site_fract_y
_atom_site_fract_z
Lu1 Lu 0.0000 0.0000 0.0000
Pu1 Pu 0.0000 0.0000 0.5000
In1 In 0.2500 0.2500 0.2500
Pd1 Pd 0.2500 0.2500 0.7500
```

E_form: -0.350 eV/atom


# InReO4

An optimized crystal structure of InReO4 (PBE, the Alexandria database).

```
data_InReO4
_chemical_formula_sum 'In2 Re2 O8'
_cell_length_a 5.7850
_cell_length_b 4.8006
_cell_length_c 5.6893
_cell_angle_alpha 90.00
_cell_angle_beta 109.97
_cell_angle_gamma 90.00
_space_group_name_H-M_alt 'P 1 21/c 1'
_space_group_IT_number 14
_space_group_name_Hall '-P 2ybc'
loop_
_atom_site_label
_atom_site_type_symbol
_atom_site_fract_x
_atom_site_fract_y
_atom_site_fract_z
In1 In 0.0000 0.0000 0.0000
Re1 Re 0.5000 0.0000 0.5000
O1 O 0.1718 0.1630 0.3732
O2 O 0.3763 0.7148 0.6775
```

Uncorrected energy: -87.36 eV/cell


# NdDy2Th

An optimized crystal structure of NdDy2Th (PBE, the Alexandria database).

```
data_NdDy2Th
_chemical_formula_sum 'Nd4 Dy8 Th4'
_cell_length_a 23.0677
_cell_length_b 3.5195
_cell_length_c 6.4472
_cell_angle_alpha 90.00
_cell_angle_beta 94.51
_cell_angle_gamma 90.00
_space_group_name_H-M_alt 'C 1 2/m 1'
_space_group_IT_number 12
_space_group_name_Hall '-C 2y'
loop_
_atom_site_label
_atom_site_type_symbol
_atom_site_fract_x
_atom_site_fract_y
_atom_site_fract_z
Nd1 Nd 0.0054 0.0000 0.2430
Dy1 Dy 0.1241 0.5000 0.0309
Dy2 Dy 0.1326 0.0000 0.5447
Th1 Th 0.2485 0.0000 0.2459
```

E_form: 0.089 eV/atom
Energy above the most stable polymorph in this dataset: 29 kJ/mol of formula units


# Pm8NiP3I4

An optimized crystal structure of Pm8NiP3I4 (PBE, the Alexandria database).

```
data_Pm8NiP3I4
_chemical_formula_sum 'Pm24 Ni3 P9 I12'
_cell_length_a 8.4059
_cell_length_b 8.4059
_cell_length_c 22.8937
_cell_angle_alpha 90.00
_cell_angle_beta 90.00
_cell_angle_gamma 120.00
_space_group_name_H-M_alt 'R -3 m'
_space_group_IT_number 166
_space_group_name_Hall '-R 3 2"'
loop_
_atom_site_label
_atom_site_type_symbol
_atom_site_fract_x
_atom_site_fract_y
_atom_site_fract_z
Pm1 Pm 0.0000 0.0000 0.2299
Pm2 Pm 0.0112 0.5056 0.2297
Ni1 Ni 0.0000 0.0000 0.5000
P1 P 0.0000 0.5000 0.5000
I1 I 0.0000 0.0000 0.0000
I2 I 0.0000 0.5000 0.0000
```

Uncorrected energy: -254.53 eV/cell


# Li4Bi2Pd

An optimized crystal structure of Li4Bi2Pd (PBE, the Alexandria database).

```
data_Li4Bi2Pd
_chemical_formula_sum 'Li4 Bi2 Pd1'
_cell_length_a 4.5693
_cell_length_b 4.5693
_cell_length_c 6.6183
_cell_angle_alpha 90.00
_cell_angle_beta 90.00
_cell_angle_gamma 90.00
_space_group_name_H-M_alt 'P 4/m m m'
_space_group_IT_number 123
_space_group_name_Hall '-P 4 2'
loop_
_atom_site_label
_atom_site_type_symbol
_atom_site_fract_x
_atom_site_fract_y
_atom_site_fract_z
Li1 Li 0.0000 0.5000 0.2375
Bi1 Bi 0.0000 0.0000 0.0000
Bi2 Bi 0.5000 0.5000 0.5000
Pd1 Pd 0.0000 0.0000 0.5000
```

E_form: -0.395 eV/atom


# PmNd2Pd3

An optimized crystal structure of PmNd2Pd3 (PBE, the Alexandria database).

```
data_PmNd2Pd3
_chemical_formula_sum 'Pm4 Nd8 Pd12'
_cell_length_a 13.2979
_cell_length_b 5.9408
_cell_length_c 8.3969
_cell_angle_alpha 90.00
_cell_angle_beta 108.48
_cell_angle_gamma 90.00
_space_group_name_H-M_alt 'C 1 2/c 1'
_space_group_IT_number 15
_space_group_name_Hall '-C 2yc'
loop_
_atom_site_label
_atom_site_type_symbol
_atom_site_fract_x
_atom_site_fract_y
_atom_site_fract_z
Pm1 Pm 0.0000 0.0034 0.2500
Nd1 Nd 0.1668 0.4964 0.0834
Pd1 Pd 0.0000 0.4964 0.7500
Pd2 Pd 0.1653 0.0037 0.5826
```

E_form: -0.676 eV/atom


# SbAsCl2

An optimized crystal structure of SbAsCl2 (PBE, the Alexandria database).

```
data_SbAsCl2
_chemical_formula_sum 'Sb1 As1 Cl2'
_cell_length_a 3.1349
_cell_length_b 4.5710
_cell_length_c 6.1709
_cell_angle_alpha 90.00
_cell_angle_beta 90.00
_cell_angle_gamma 90.00
_space_group_name_H-M_alt 'P m m m'
_space_group_IT_number 47
_space_group_name_Hall '-P 2 2'
loop_
_atom_site_label
_atom_site_type_symbol
_atom_site_fract_x
_atom_site_fract_y
_atom_site_fract_z
Sb1 Sb 0.0000 0.0000 0.0000
As1 As 0.0000 0.0000 0.5000
Cl1 Cl 0.5000 0.5000 0.2492
```

Energy above the most stable polymorph in this dataset: 252 kJ/mol of formula units


# Hf4Sn5

An optimized crystal structure of Hf4Sn5 (PBE, the Alexandria database).

```
data_Hf4Sn5
_chemical_formula_sum 'Hf8 Sn10'
_cell_length_a 8.7305
_cell_length_b 8.7305
_cell_length_c 5.6992
_cell_angle_alpha 90.00
_cell_angle_beta 90.00
_cell_angle_gamma 90.00
_space_group_name_H-M_alt 'I 4/m'
_space_group_IT_number 87
_space_group_name_Hall '-I 4'
loop_
_atom_site_label
_atom_site_type_symbol
_atom_site_fract_x
_atom_site_fract_y
_atom_site_fract_z
Hf1 Hf 0.0635 0.6663 0.0000
Sn1 Sn 0.0000 0.0000 0.0000
Sn2 Sn 0.1020 0.7694 0.5000
```

E_form: -0.051 eV/atom


# Nb4GaH2

An optimized crystal structure of Nb4GaH2 (PBE, the Alexandria database).

```
data_Nb4GaH2
_chemical_formula_sum 'Nb16 Ga4 H8'
_cell_length_a 6.1156
_cell_length_b 13.0234
_cell_length_c 5.5726
_cell_angle_alpha 90.00
_cell_angle_beta 118.63
_cell_angle_gamma 90.00
_space_group_name_H-M_alt 'C 1 c 1'
_space_group_IT_number 9
_space_group_name_Hall 'C -2yc'
loop_
_atom_site_label
_atom_site_type_symbol
_atom_site_fract_x
_atom_site_fract_y
_atom_site_fract_z
Nb1 Nb 0.0000 0.0015 0.0000
Nb2 Nb 0.0434 0.4201 0.0364
Nb3 Nb 0.1315 0.2066 0.3026
Nb4 Nb 0.1883 0.1860 0.8272
Ga1 Ga 0.1674 0.3778 0.6023
H1 H 0.2533 0.0311 0.8831
H2 H 0.4947 0.2258 0.4455
```

Uncorrected energy: -201.79 eV/cell


# GeSbPbAu2

An optimized crystal structure of GeSbPbAu2 (PBE, the Alexandria database).

```
data_GeSbPbAu2
_chemical_formula_sum 'Ge4 Sb4 Pb4 Au8'
_cell_length_a 13.1147
_cell_length_b 4.5567
_cell_length_c 10.2461
_cell_angle_alpha 90.00
_cell_angle_beta 126.29
_cell_angle_gamma 90.00
_space_group_name_H-M_alt 'C 1 2/m 1'
_space_group_IT_number 12
_space_group_name_Hall '-C 2y'
loop_
_atom_site_label
_atom_site_type_symbol
_atom_site_fract_x
_atom_site_fract_y
_atom_site_fract_z
Ge1 Ge 0.0985 0.0000 0.4902
Sb1 Sb 0.0818 0.5000 0.8726
Pb1 Pb 0.1742 0.0000 0.1776
Au1 Au 0.1560 0.0000 0.7891
Au2 Au 0.1579 0.5000 0.4349
```

Uncorrected energy: -76.49 eV/cell


# HoGaHgPb

An optimized crystal structure of HoGaHgPb (PBE, the Alexandria database).

```
data_HoGaHgPb
_chemical_formula_sum 'Ho4 Ga4 Hg4 Pb4'
_cell_length_a 7.4109
_cell_length_b 7.4109
_cell_length_c 7.4109
_cell_angle_alpha 90.00
_cell_angle_beta 90.00
_cell_angle_gamma 90.00
_space_group_name_H-M_alt 'F -4 3 m'
_space_group_IT_number 216
_space_group_name_Hall 'F -4 2 3'
loop_
_atom_site_label
_atom_site_type_symbol
_atom_site_fract_x
_atom_site_fract_y
_atom_site_fract_z
Ho1 Ho 0.0000 0.0000 0.0000
Ga1 Ga 0.2500 0.2500 0.7500
Hg1 Hg 0.2500 0.2500 0.2500
Pb1 Pb 0.0000 0.0000 0.5000
```

E_form: -0.191 eV/atom


# KAcH

An optimized crystal structure of KAcH (PBE, the Alexandria database).

```
data_KAcH
_chemical_formula_sum 'K1 Ac1 H1'
_cell_length_a 3.9486
_cell_length_b 3.9486
_cell_length_c 7.3714
_cell_angle_alpha 90.00
_cell_angle_beta 90.00
_cell_angle_gamma 120.00
_space_group_name_H-M_alt 'P 3 m 1'
_space_group_IT_number 156
_space_group_name_Hall 'P 3 -2"'
loop_
_atom_site_label
_atom_site_type_symbol
_atom_site_fract_x
_atom_site_fract_y
_atom_site_fract_z
K1 K 0.0000 0.0000 0.0000
Ac1 Ac 0.3333 0.6667 0.4780
H1 H 0.6667 0.3333 0.3050
```

Energy above the most stable polymorph in this dataset: 0 kJ/mol of formula units


# TiAlGa

An optimized crystal structure of TiAlGa (PBE, the Alexandria database).

```
data_TiAlGa
_chemical_formula_sum 'Ti2 Al2 Ga2'
_cell_length_a 2.8381
_cell_length_b 4.8336
_cell_length_c 7.0569
_cell_angle_alpha 90.00
_cell_angle_beta 94.66
_cell_angle_gamma 90.00
_space_group_name_H-M_alt 'P 1 21 1'
_space_group_IT_number 4
_space_group_name_Hall 'P 2yb'
loop_
_atom_site_label
_atom_site_type_symbol
_atom_site_fract_x
_atom_site_fract_y
_atom_site_fract_z
Ti1 Ti 0.0964 0.0000 0.1652
Al1 Al 0.2806 0.6931 0.5081
Ga1 Ga 0.4490 0.0026 0.8246
```

E_form: -0.323 eV/atom


# BeCoNi2

An optimized crystal structure of BeCoNi2 (PBE, the Alexandria database).

```
data_BeCoNi2
_chemical_formula_sum 'Be4 Co4 Ni8'
_cell_length_a 5.4537
_cell_length_b 5.4537
_cell_length_c 5.4537
_cell_angle_alpha 90.00
_cell_angle_beta 90.00
_cell_angle_gamma 90.00
_space_group_name_H-M_alt 'F -4 3 m'
_space_group_IT_number 216
_space_group_name_Hall 'F -4 2 3'
loop_
_atom_site_label
_atom_site_type_symbol
_atom_site_fract_x
_atom_site_fract_y
_atom_site_fract_z
Be1 Be 0.0000 0.0000 0.0000
Co1 Co 0.2500 0.2500 0.7500
Ni1 Ni 0.0000 0.0000 0.5000
Ni2 Ni 0.2500 0.2500 0.2500
```

E_form: -0.080 eV/atom


# Nd2Sm2HoTm2

An optimized crystal structure of Nd2Sm2HoTm2 (PBE, the Alexandria database).

```
data_Nd2Sm2HoTm2
_chemical_formula_sum 'Nd4 Sm4 Ho2 Tm4'
_cell_length_a 11.3585
_cell_length_b 5.0730
_cell_length_c 8.0207
_cell_angle_alpha 90.00
_cell_angle_beta 98.25
_cell_angle_gamma 90.00
_space_group_name_H-M_alt 'C 1 2/m 1'
_space_group_IT_number 12
_space_group_name_Hall '-C 2y'
loop_
_atom_site_label
_atom_site_type_symbol
_atom_site_fract_x
_atom_site_fract_y
_atom_site_fract_z
Nd1 Nd 0.1434 0.0000 0.4275
Sm1 Sm 0.0706 0.5000 0.7197
Ho1 Ho 0.0000 0.0000 0.0000
Tm1 Tm 0.2152 0.5000 0.1394
```

E_form: 0.021 eV/atom